Below is GeP2S2 after structural relaxation, with properties calculated at the PBE-GGA level.

abc: 4.789 4.789 4.501
angles: 90.00 90.00 90.00
Space group P4/mmm (No. 123)
One atom of each set of equivalent atoms:
1 Ge 0.000 0.000 0.000
2 P 0.000 0.500 0.000
3 S 0.000 0.000 0.500
4 S 0.500 0.500 0.500

Values from the calculation:
Relative energy among the computed polymorphs (eV per atom): 0.925
Formation energy without anion corrections (eV/atom): 1.13